DFT (PBE+U) results for a relaxed La2BeFeF crystal.

Values from the calculation:
calculated total energy: -22.57 eV/f.u.

POSCAR file:
```
La2BeFeF
1.0
5.048 0.000 0.000
0.000 5.048 0.000
0.000 0.000 4.347
La Be Fe F
2 1 1 1
Direct
0.000 0.500 0.000
0.500 0.000 0.000
0.000 0.000 0.500
0.500 0.500 0.500
0.500 0.500 0.000
```